# LaEuSc2 PBE optimized geometry
# Offset from the most stable computed form, eV/atom: 0.000
data_LaEuSc2
_space_group_name_H-M_alt 'P 4/m m m'
_space_group_IT_number 123
_space_group_name_Hall '-P 4 2'
_cell_length_a 3.8834
_cell_length_b 3.8834
_cell_length_c 8.1485
_cell_angle_alpha 90.00
_cell_angle_beta 90.00
_cell_angle_gamma 90.00
loop_
_atom_site_label
_atom_site_type_symbol
_atom_site_fract_x
_atom_site_fract_y
_atom_site_fract_z
La1 La 0.0000 0.0000 0.0000
Eu1 Eu 0.0000 0.0000 0.5000
Sc1 Sc 0.5000 0.5000 0.2511



# LaEu2Sc PBE optimized geometry
# Offset from the most stable computed form, eV/atom: 0.000
data_LaEu2Sc
_space_group_name_H-M_alt 'P 4/m m m'
_space_group_IT_number 123
_space_group_name_Hall '-P 4 2'
_cell_length_a 3.6470
_cell_length_b 3.6470
_cell_length_c 10.4949
_cell_angle_alpha 90.00
_cell_angle_beta 90.00
_cell_angle_gamma 90.00
loop_
_atom_site_label
_atom_site_type_symbol
_atom_site_fract_x
_atom_site_fract_y
_atom_site_fract_z
La1 La 0.0000 0.0000 0.0000
Eu1 Eu 0.5000 0.5000 0.2685
Sc1 Sc 0.0000 0.0000 0.5000



An optimized crystal structure of LaTbEuSc, computed with PBE.

Cell and atoms, written as CIF:
```
data_LaTbEuSc
_space_group_name_H-M_alt 'F -4 3 m'
_space_group_IT_number 216
_space_group_name_Hall 'F -4 2 3'
_cell_length_a 8.0771
_cell_length_b 8.0771
_cell_length_c 8.0771
_cell_angle_alpha 90.00
_cell_angle_beta 90.00
_cell_angle_gamma 90.00
loop_
_atom_site_label
_atom_site_type_symbol
_atom_site_fract_x
_atom_site_fract_y
_atom_site_fract_z
La1 La 0.0000 0.0000 0.0000
Tb1 Tb 0.0000 0.0000 0.5000
Eu1 Eu 0.2500 0.2500 0.7500
Sc1 Sc 0.2500 0.2500 0.2500
```



An optimized crystal structure of LaEuScTl, computed with PBE.

Cell and atoms, written as CIF:
```
data_LaEuScTl
_space_group_name_H-M_alt 'F -4 3 m'
_space_group_IT_number 216
_space_group_name_Hall 'F -4 2 3'
_cell_length_a 7.8978
_cell_length_b 7.8978
_cell_length_c 7.8978
_cell_angle_alpha 90.00
_cell_angle_beta 90.00
_cell_angle_gamma 90.00
loop_
_atom_site_label
_atom_site_type_symbol
_atom_site_fract_x
_atom_site_fract_y
_atom_site_fract_z
La1 La 0.0000 0.0000 0.0000
Eu1 Eu 0.0000 0.0000 0.5000
Sc1 Sc 0.2500 0.2500 0.2500
Tl1 Tl 0.2500 0.2500 0.7500
```



An optimized crystal structure of LaEuYSc, computed with PBE.

Cell and atoms, written as CIF:
```
data_LaEuYSc
_space_group_name_H-M_alt 'F -4 3 m'
_space_group_IT_number 216
_space_group_name_Hall 'F -4 2 3'
_cell_length_a 8.0881
_cell_length_b 8.0881
_cell_length_c 8.0881
_cell_angle_alpha 90.00
_cell_angle_beta 90.00
_cell_angle_gamma 90.00
loop_
_atom_site_label
_atom_site_type_symbol
_atom_site_fract_x
_atom_site_fract_y
_atom_site_fract_z
La1 La 0.0000 0.0000 0.0000
Eu1 Eu 0.2500 0.2500 0.7500
Y1 Y 0.0000 0.0000 0.5000
Sc1 Sc 0.2500 0.2500 0.2500
```



# La2EuSe PBE optimized geometry
# ΔE_f (raw), eV/f.u.: -2.918
data_La2EuSe
_space_group_name_H-M_alt 'R -3 m'
_space_group_IT_number 166
_space_group_name_Hall '-R 3 2"'
_cell_length_a 4.0126
_cell_length_b 4.0126
_cell_length_c 32.5867
_cell_angle_alpha 90.00
_cell_angle_beta 90.00
_cell_angle_gamma 120.00
loop_
_atom_site_label
_atom_site_type_symbol
_atom_site_fract_x
_atom_site_fract_y
_atom_site_fract_z
La1 La 0.0000 0.0000 0.1103
Eu1 Eu 0.0000 0.0000 0.0000
Se1 Se 0.0000 0.0000 0.5000



Number 1: theoretical density 5.15 g/cm³, DFT total energy -27.29 eV per formula unit. Number 2: theoretical density 5.80 g/cm³, DFT total energy -31.18 eV per formula unit. Number 3: theoretical density 6.24 g/cm³, DFT total energy -25.56 eV per formula unit. Number 4: theoretical density 7.28 g/cm³, DFT total energy -24.14 eV per formula unit. Number 5: theoretical density 5.33 g/cm³, DFT total energy -27.40 eV per formula unit. Number 6: theoretical density 5.58 g/cm³, DFT total energy -26.53 eV per formula unit.